Arrangement a

Material: Y2ZrPt
Method: DFT, meta-GGA SCAN
State: PBEsol geometry

Cell: 3.516 5.061 6.126 Å, 114.40 106.68 90.00°
Positions (direct):
1 Pt 0.761 0.261 0.521
2 Zr 0.455 0.455 0.910
3 Y 0.247 0.747 0.495
4 Y 0.037 0.037 0.074

Values from the calculation:
As for the density: 8.2 g/cm3. Its space group is Imm2, No. 44.

***

Arrangement b

Material: Y2ZrPt
Method: DFT, meta-GGA SCAN
State: PBEsol geometry

Cell: 3.498 3.498 9.463 Å, 79.35 79.35 60.00°
Positions (direct):
1 Y 0.263 0.263 0.212
2 Zr 0.500 0.500 0.500
3 Pt 0.000 0.000 0.000
4 Y 0.737 0.737 0.788

Values from the calculation:
As for the density: 7.9 g/cm3. Its space group is R-3m, No. 166.

***

Pick arrangement a: it beats the second-best structure by 283 meV per atom.

***

Arrangement a

Material: Zr5Pt
Method: DFT, meta-GGA SCAN
State: PBEsol geometry

Cell: 5.038 5.491 5.491 Å, 120.00 90.00 90.00°
Positions (direct):
1 Zr 0.500 0.000 0.500
2 Zr 0.500 0.500 0.000
3 Zr 0.000 0.333 0.667
4 Zr 0.500 0.500 0.500
5 Zr 0.000 0.667 0.333
6 Pt 0.000 0.000 0.000

Values from the calculation:
As for the density: 8.2 g/cm3. Its space group is P6/mmm, No. 191.

***

Arrangement b

Material: Zr5Pt
Method: DFT, meta-GGA SCAN
State: PBEsol geometry

Cell: 3.226 5.628 7.637 Å, 107.42 90.00 106.65°
Positions (direct):
1 Zr 0.705 0.409 0.358
2 Pt 0.990 0.979 0.994
3 Zr 0.408 0.817 0.230
4 Zr 0.041 0.082 0.589
5 Zr 0.341 0.682 0.717
6 Zr 0.682 0.364 0.946

Values from the calculation:
As for the density: 8.6 g/cm3. Its space group is Cm, No. 8.

***

Pick arrangement b: it beats the second-best structure by 986 meV per atom.

***

Arrangement a

Material: Zr4Pt
Method: DFT, meta-GGA SCAN
State: PBEsol geometry

Cell: 3.404 5.708 5.708 Å, 84.90 72.65 72.65°
Positions (direct):
1 Pt 0.000 0.000 0.000
2 Zr 0.410 0.376 0.804
3 Zr 0.214 0.196 0.376
4 Zr 0.590 0.624 0.196
5 Zr 0.786 0.804 0.624

Values from the calculation:
As for the density: 9.2 g/cm3. Its space group is I4/m, No. 87.

***

Arrangement b

Material: Zr4Pt
Method: DFT, meta-GGA SCAN
State: PBEsol geometry

Cell: 3.726 3.726 8.301 Å, 102.97 102.97 90.00°
Positions (direct):
1 Zr 0.750 0.250 0.500
2 Pt 0.000 0.000 0.000
3 Zr 0.584 0.584 0.169
4 Zr 0.250 0.750 0.500
5 Zr 0.416 0.416 0.831

Values from the calculation:
As for the density: 8.5 g/cm3. Its space group is I4/mmm, No. 139.

***

Pick arrangement a: it beats the second-best structure by 800 meV per atom.